Mn2SiSe4 after structural relaxation. Source: Alexandria via LeMat-Bulk, functional GGA-PBE.

Summary:
E: -5.787 eV per atom
formation energy (no corrections): -402 meV per atom
spin magnetization: 40.0 μB/cell
density of states at the Fermi level: 0.1293 states/eV per atom
SG: No. 62

Cell lengths 6.273, 7.832, 13.401 Å; angles 90.00, 90.00, 90.00 degrees
Each line ends with the local moment (μB).
Positions (direct):
1 Se 0.729 0.250 0.408  0.08
2 Se 0.749 0.519 0.668  0.09
3 Se 0.251 0.481 0.332  0.09
4 Se 0.751 0.981 0.168  0.09
5 Se 0.271 0.750 0.592  0.08
6 Se 0.257 0.250 0.069  0.09
7 Se 0.251 0.019 0.332  0.09
8 Se 0.751 0.519 0.168  0.09
9 Se 0.757 0.750 0.431  0.09
10 Se 0.229 0.750 0.092  0.08
11 Se 0.771 0.250 0.908  0.08
12 Se 0.249 0.019 0.832  0.09
13 Se 0.743 0.750 0.931  0.09
14 Se 0.243 0.250 0.569  0.09
15 Se 0.249 0.481 0.832  0.09
16 Se 0.749 0.981 0.668  0.09
17 Si 0.406 0.250 0.911  0.04
18 Si 0.594 0.750 0.089  0.04
19 Si 0.094 0.250 0.411  0.04
20 Si 0.906 0.750 0.589  0.04
21 Mn 0.995 0.250 0.734  4.35
22 Mn 0.505 0.250 0.234  4.35
23 Mn 0.495 0.750 0.766  4.35
24 Mn 0.000 0.500 0.000  4.32
25 Mn 0.000 0.000 0.000  4.32
26 Mn 0.500 0.500 0.500  4.32
27 Mn 0.005 0.750 0.266  4.35
28 Mn 0.500 0.000 0.500  4.32